{"formula": "CdTePb2O6", "functional": "PBE", "state": "optimized geometry", "crystal_system": "trigonal", "dft_energy_ev_per_cell": -50.6, "spacegroup": "No. 146", "formation_energy_uncorrected_ev_per_atom": -0.941, "lattice_angstrom": [[-0.470, 3.639, -4.565], [-0.265, -2.148, -5.442], [-5.548, 0.257, -2.982]], "species": ["O", "O", "O", "O", "O", "O", "Pb", "Pb", "Cd", "Te"], "fractional_positions": [[0.170, 0.993, 0.238], [0.599, 0.170, 0.238], [0.105, 0.400, 0.768], [0.993, 0.600, 0.238], [0.400, 0.726, 0.768], [0.726, 0.105, 0.768], [0.529, 0.529, 0.413], [0.019, 0.019, 0.943], [0.804, 0.804, 0.589], [0.316, 0.316, 0.053]]}